Record 1
Computed, not measured: a geometry-optimized LiYSi structure at the PBE level of DFT.

Cell lengths 4.6238, 4.6238, 6.6636 Å; angles 90.00, 90.00, 120.00 degrees
Last column: nearest neighbours and their distance in Å.
Space group P3m1 (No. 156)
Unique sites:
1 Li 0.0000 0.0000 0.0000 (multiplicity 1)  4 Si 2.77-2.90, 3 Li 2.80
2 Li 0.3333 0.6667 0.1248 (multiplicity 1)  3 Li 2.80, 4 Y 2.96-2.98, 3 Si 3.10
3 Y 0.3333 0.6667 0.6802 (multiplicity 1)  1 Li 2.96, 6 Si 3.01-3.13
4 Y 0.6667 0.3333 0.3236 (multiplicity 1)  4 Si 2.77-2.90, 3 Li 2.98
5 Si 0.0000 0.0000 0.4358 (multiplicity 1)  3 Y 2.77, 1 Li 2.90
6 Si 0.6667 0.3333 0.8886 (multiplicity 1)  6 Li 2.77-3.10, 4 Y 2.90-3.01

Computed properties:
The value obtained for the uncorrected formation energy is -1.4 eV/f.u. As for the total energy: -5.0656 eV per atom. Its calculated volume is 20.56 A^3/atom. As for the size of the total moment: 0.0 μB/cell. For the energy above the most stable polymorph in this dataset, the calculation gives 0.147 eV/atom.



Record 2
Computed, not measured: a geometry-optimized Li2Y2Si3 structure at the PBE level of DFT.

Cell lengths 4.2614, 18.0465, 6.7063 Å; angles 90.00, 90.00, 90.00 degrees
Last column: nearest neighbours and their distance in Å.
Space group Cmcm (No. 63)
Unique sites:
1 Li 0.0000 0.1900 0.0606 (multiplicity 8)  4 Si 2.52-2.63, 1 Li 2.54
2 Y 0.0000 0.3434 0.2500 (multiplicity 4)  6 Si 3.01-3.07, 6 Li 3.04-3.05
3 Y 0.0000 0.4474 0.7500 (multiplicity 4)  9 Si 3.04-3.17
4 Si 0.0000 0.0595 0.5721 (multiplicity 8)  2 Si 2.36-2.39, 1 Li 2.52
5 Si 0.0000 0.2792 0.7500 (multiplicity 4)  6 Li 2.54-2.63

Computed properties:
The value obtained for the uncorrected formation energy is -4.3 eV/f.u. As for the total energy: -5.3344 eV per atom. Its calculated volume is 18.42 A^3/atom. As for the size of the total moment: 0.0 μB/cell.



Record 3
Computed, not measured: a geometry-optimized LiY2Si2 structure at the PBE level of DFT.

Cell lengths 3.5834, 3.5834, 18.6689 Å; angles 90.00, 90.00, 90.00 degrees
Last column: nearest neighbours and their distance in Å.
Space group I4/mmm (No. 139)
Unique sites:
1 Li 0.0000 0.0000 0.0000 (multiplicity 2)  8 Y 3.43, 4 Li 3.58
2 Y 0.0000 0.0000 0.3765 (multiplicity 4)  4 Si 2.96
3 Si 0.0000 0.5000 0.2500 (multiplicity 4)  4 Si 2.53

Computed properties:
The value obtained for the uncorrected formation energy is -0.6 eV/f.u. As for the total energy: -5.2509 eV per atom. Its calculated volume is 23.97 A^3/atom. As for the size of the total moment: 0.0 μB/cell. For the energy above the most stable polymorph in this dataset, the calculation gives 0.550 eV/atom.



Record 4
Computed, not measured: a geometry-optimized Li2YSi structure at the PBE level of DFT.

Cell lengths 5.7666, 10.8849, 3.3948 Å; angles 90.00, 124.58, 90.00 degrees
Last column: nearest neighbours and their distance in Å.
Space group C2/m (No. 12)
Unique sites:
1 Li 0.2500 0.2500 0.0000 (multiplicity 4)  4 Li 2.88-2.95, 2 Si 3.10, 2 Y 3.10
2 Y 0.0000 0.0000 0.5000 (multiplicity 2)  4 Si 2.88-2.95, 4 Li 3.10
3 Si 0.0000 0.5000 0.5000 (multiplicity 2)  4 Y 2.88-2.95, 4 Li 3.10

Computed properties:
The value obtained for the uncorrected formation energy is -0.2 eV/f.u. As for the total energy: -3.9734 eV per atom. Its calculated volume is 21.93 A^3/atom. As for the size of the total moment: 0.8 μB/cell.



Record 5
Computed, not measured: a geometry-optimized Li2YSi structure at the PBE level of DFT.

Cell lengths 9.0022, 3.9426, 4.5248 Å; angles 90.00, 106.02, 90.00 degrees
Last column: nearest neighbours and their distance in Å.
Space group C2/m (No. 12)
Unique sites:
1 Li 0.2335 0.0000 0.1768 (multiplicity 4)  2 Li 2.61, 3 Si 2.73-2.83, 1 Y 2.87
2 Y 0.0000 0.0000 0.5000 (multiplicity 2)  8 Li 2.87-3.20, 4 Si 3.00
3 Si 0.0000 0.5000 0.0000 (multiplicity 2)  6 Li 2.73-2.83, 4 Y 3.00

Computed properties:
The value obtained for the uncorrected formation energy is -0.8 eV/f.u. As for the total energy: -4.1381 eV per atom. Its calculated volume is 19.29 A^3/atom. As for the size of the total moment: 0.0 μB/cell.



Record 6
Computed, not measured: a geometry-optimized LiYSi structure at the PBE level of DFT.

Cell lengths 3.3176, 3.3176, 10.8931 Å; angles 90.00, 90.00, 90.00 degrees
Last column: nearest neighbours and their distance in Å.
Space group I4mm (No. 107)
Unique sites:
1 Li 0.0000 0.0000 0.0000 (multiplicity 2)  4 Si 2.65
2 Y 0.0000 0.0000 0.7142 (multiplicity 2)  4 Si 3.01, 5 Li 3.11-3.31, 4 Y 3.32
3 Si 0.0000 0.0000 0.3870 (multiplicity 2)  4 Li 2.65

Computed properties:
The value obtained for the uncorrected formation energy is -0.6 eV/f.u. As for the total energy: -4.7888 eV per atom. Its calculated volume is 19.98 A^3/atom. As for the size of the total moment: 0.0 μB/cell. For the energy above the most stable polymorph in this dataset, the calculation gives 0.424 eV/atom.



Record 7
Computed, not measured: a geometry-optimized LiYSi structure at the PBE level of DFT.

Cell lengths 4.5686, 5.4641, 5.6704 Å; angles 73.87, 82.24, 66.91 degrees
Last column: nearest neighbours and their distance in Å.
Space group P-1 (No. 2)
Unique sites:
1 Li 0.0450 0.3205 0.3088 (multiplicity 2)  3 Si 2.49-2.70
2 Y 0.3472 0.7567 0.2028 (multiplicity 2)  5 Si 2.88-3.17, 4 Li 3.04-3.16
3 Si 0.3631 0.8942 0.6744 (multiplicity 2)  1 Si 2.45, 3 Li 2.49-2.70

Computed properties:
The value obtained for the uncorrected formation energy is -1.2 eV/f.u. As for the total energy: -4.9947 eV per atom. Its calculated volume is 20.84 A^3/atom. As for the size of the total moment: 0.0 μB/cell. For the energy above the most stable polymorph in this dataset, the calculation gives 0.218 eV/atom.



Record 8
Computed, not measured: a geometry-optimized LiYSi structure at the PBE level of DFT.

Cell lengths 6.2014, 6.2014, 6.2014 Å; angles 90.00, 90.00, 90.00 degrees
Last column: nearest neighbours and their distance in Å.
Space group F-43m (No. 216)
Unique sites:
1 Li 0.0000 0.0000 0.0000 (multiplicity 4)  4 Si 2.69, 4 Y 2.69
2 Y 0.2500 0.2500 0.2500 (multiplicity 4)  4 Li 2.69
3 Si 0.2500 0.2500 0.7500 (multiplicity 4)  4 Li 2.69

Computed properties:
The value obtained for the uncorrected formation energy is -1.0 eV/f.u. As for the total energy: -4.9443 eV per atom. Its calculated volume is 19.87 A^3/atom. As for the size of the total moment: 0.0 μB/cell. For the energy above the most stable polymorph in this dataset, the calculation gives 0.269 eV/atom.



Record 9
Computed, not measured: a geometry-optimized Li2YSi structure at the PBE level of DFT.

Cell lengths 6.7019, 6.7019, 6.7019 Å; angles 90.00, 90.00, 90.00 degrees
Last column: nearest neighbours and their distance in Å.
Space group F-43m (No. 216)
Unique sites:
1 Li 0.0000 0.0000 0.0000 (multiplicity 4)  4 Li 2.90, 4 Si 2.90
2 Li 0.2500 0.2500 0.2500 (multiplicity 4)  4 Y 2.90, 4 Li 2.90
3 Y 0.0000 0.0000 0.5000 (multiplicity 4)  4 Si 2.90, 4 Li 2.90
4 Si 0.2500 0.2500 0.7500 (multiplicity 4)  4 Li 2.90, 4 Y 2.90

Computed properties:
The value obtained for the uncorrected formation energy is -1.3 eV/f.u. As for the total energy: -4.2477 eV per atom. Its calculated volume is 18.81 A^3/atom. As for the size of the total moment: 0.0 μB/cell.



Record 10
Computed, not measured: a geometry-optimized LiYSi structure at the PBE level of DFT.

Cell lengths 6.5685, 6.5685, 6.5685 Å; angles 90.00, 90.00, 90.00 degrees
Last column: nearest neighbours and their distance in Å.
Space group F-43m (No. 216)
Unique sites:
1 Li 0.0000 0.0000 0.0000 (multiplicity 4)  4 Si 2.84
2 Y 0.0000 0.0000 0.5000 (multiplicity 4)  4 Si 2.84
3 Si 0.2500 0.2500 0.7500 (multiplicity 4)  4 Li 2.84, 4 Y 2.84

Computed properties:
The value obtained for the uncorrected formation energy is -1.3 eV/f.u. As for the total energy: -5.0458 eV per atom. Its calculated volume is 23.62 A^3/atom. As for the size of the total moment: 0.0 μB/cell. For the energy above the most stable polymorph in this dataset, the calculation gives 0.167 eV/atom.



Record 11
Computed, not measured: a geometry-optimized LiYSi4 structure at the PBE level of DFT.

Cell lengths 7.3251, 7.3251, 7.3251 Å; angles 90.00, 90.00, 90.00 degrees
Last column: nearest neighbours and their distance in Å.
Space group F-43m (No. 216)
Unique sites:
1 Li 0.0000 0.0000 0.0000 (multiplicity 4)  12 Si 3.03, 4 Y 3.17
2 Y 0.2500 0.2500 0.2500 (multiplicity 4)  12 Si 3.04, 4 Li 3.17
3 Si 0.1270 0.1270 0.6270 (multiplicity 16)  6 Si 2.55-2.63

Computed properties:
The value obtained for the uncorrected formation energy is -1.4 eV/f.u. As for the total energy: -5.2444 eV per atom. Its calculated volume is 16.38 A^3/atom. As for the size of the total moment: 0.0 μB/cell.



Record 12
Computed, not measured: a geometry-optimized LiYSi structure at the PBE level of DFT.

Cell lengths 5.5077, 5.5077, 10.6126 Å; angles 90.00, 90.00, 120.00 degrees
Last column: nearest neighbours and their distance in Å.
Space group P6_3/mmc (No. 194)
Unique sites:
1 Li 0.3333 0.6667 0.2500 (multiplicity 2)  3 Y 3.18
2 Y 0.0000 0.0000 0.2500 (multiplicity 2)  2 Si 2.65
3 Si 0.0000 0.0000 0.0000 (multiplicity 2)  2 Y 2.65

Computed properties:
The value obtained for the uncorrected formation energy is 4.0 eV/f.u. As for the total energy: -3.2697 eV per atom. Its calculated volume is 46.47 A^3/atom. As for the size of the total moment: 0.0 μB/cell. For the energy above the most stable polymorph in this dataset, the calculation gives 1.943 eV/atom.